[1]
An optimized crystal structure of SrYAs2O. Source: Alexandria via LeMat-Bulk, functional PBE.

**Total DFT energy (no corrections)**: -27.4 eV/cell
**Total magnetization**: 0.000 μB/atom
**N(E_F)**: 6.10 states/eV/f.u.
**Symmetry**: P4/mmm

Lattice parameters (Å, degrees): 5.720 4.202 5.720 90.00 90.00 90.00
Atoms (fractional coordinates):
Sr1 0.500 0.500 0.500
Y1 0.000 0.000 0.000
O1 0.000 0.500 0.000
As1 0.000 0.000 0.500
As2 0.500 0.000 0.000

[2]
An optimized crystal structure of SrYAs2O6. Source: Alexandria via LeMat-Bulk, functional PBE.

**Total DFT energy (no corrections)**: -68.0 eV/cell
**Total magnetization**: 0.001 μB/atom
**N(E_F)**: 5.95 states/eV/f.u.
**Symmetry**: R-3

Lattice parameters (Å, degrees): 5.624 5.624 6.618 64.85 64.85 60.00
Atoms (fractional coordinates):
O1 0.741 0.061 0.723
O2 0.061 0.475 0.723
Y1 0.500 0.500 0.500
O3 0.939 0.525 0.277
Sr1 0.000 0.000 0.000
O4 0.525 0.259 0.277
As1 0.720 0.720 0.839
O5 0.475 0.741 0.723
As2 0.280 0.280 0.161
O6 0.259 0.939 0.277

[3]
An optimized crystal structure of SrZnAs2O6. Source: Alexandria via LeMat-Bulk, functional PBE.

**Total DFT energy (no corrections)**: -56.2 eV/cell
**Total magnetization**: 0.000 μB/atom
**N(E_F)**: 3.32 states/eV/f.u.
**Symmetry**: R-3

Lattice parameters (Å, degrees): 5.523 5.523 6.350 64.22 64.22 60.00
Atoms (fractional coordinates):
O1 0.523 0.276 0.283
O2 0.082 0.477 0.717
O3 0.477 0.724 0.717
As1 0.731 0.731 0.808
O4 0.276 0.918 0.283
O5 0.918 0.523 0.283
Zn1 0.500 0.500 0.500
As2 0.269 0.269 0.192
Sr1 0.000 0.000 0.000
O6 0.724 0.082 0.717

Number 1: ΔE_f (raw) -1009 meV/atom. Number 2: ΔE_f (raw) -2083 meV/atom. Number 3: ΔE_f (raw) -1415 meV/atom.